A plane-wave DFT calculation with PBE-GGA was carried out for an optimized crystal structure of SrCd2Os2.

Geometry as POSCAR:
```
SrCd2Os2
1.0
-2.210 -1.818 2.618
2.179 -3.187 -0.374
4.245 -0.200 6.317
Cd Os Sr
2 2 1
Direct
0.608 0.608 0.784 Cd
0.392 0.392 0.216 Cd
0.250 0.750 0.500 Os
0.750 0.250 0.500 Os
0.000 0.000 0.000 Sr
```

For the final energy, the calculation gives -23.0 eV per cell. For the energy relative to the lowest polymorph listed for this composition, the calculation gives 0 meV per atom.